(1)
Density functional theory data (PBEsol) for crystalline LaFe4P12 at its relaxed geometry.

Output
ΔH_f (0 K) in eV/atom: -0.73

```
LaFe4P12
1.0
-3.867 3.867 3.867
3.867 -3.867 3.867
3.867 3.867 -3.867
La Fe P
1 4 12
Cartesian
0.000 0.000 0.000
1.934 1.934 -1.934
1.934 -1.934 1.934
-1.934 1.934 1.934
1.934 1.934 1.934
2.730 0.000 1.189
5.005 0.000 1.189
3.867 2.678 -1.138
1.189 2.730 0.000
2.678 -1.138 3.867
3.867 2.678 1.138
0.000 1.189 2.730
1.189 5.005 0.000
2.678 1.138 3.867
0.000 1.189 5.005
-1.138 3.867 2.678
1.138 3.867 2.678
```

---

(2)
Density functional theory data (PBEsol) for crystalline MnNb2AgOs at its relaxed geometry.

Output
ΔH_f (0 K) in eV/atom: 0.98

```
MnNb2AgOs
1.0
4.500 0.000 0.000
0.000 4.500 0.000
0.000 0.000 4.423
Mn Nb Ag Os
1 2 1 1
Cartesian
0.000 0.000 0.000
0.000 2.250 0.000
2.250 0.000 0.000
2.250 2.250 2.212
0.000 0.000 2.212
```

---

(3)
Density functional theory data (PBEsol) for crystalline CrNi at its relaxed geometry.

Output
ΔH_f (0 K) in eV/atom: 0.11

```
CrNi
1.0
2.888 0.000 0.000
0.000 2.888 0.000
0.000 0.000 5.170
Cr Ni
2 2
Cartesian
0.722 0.722 0.639
2.166 2.166 4.531
0.722 0.722 3.223
2.166 2.166 1.947
```

---

(4)
Density functional theory data (PBEsol) for crystalline BeIr2Pd at its relaxed geometry.

Output
ΔH_f (0 K) in eV/atom: 0.42

```
BeIr2Pd
1.0
-1.802 1.802 8.817
1.802 -1.802 8.817
1.802 1.802 -8.817
Be Ir Pd
2 4 2
Cartesian
0.000 0.000 0.000
0.000 1.802 4.408
2.704 0.857 -2.204
0.857 0.901 2.204
-0.901 0.945 6.613
0.945 0.901 11.021
1.802 0.000 4.408
0.000 0.000 8.817
```

---

(5)
Density functional theory data (PBEsol) for crystalline MnAl2Au at its relaxed geometry.

Output
ΔH_f (0 K) in eV/atom: -0.16

```
MnAl2Au
1.0
-1.989 1.989 3.515
1.989 -1.989 3.515
1.989 1.989 -3.515
Mn Al Au
1 2 1
Cartesian
0.000 0.000 0.000
1.989 0.000 1.758
0.000 1.989 1.758
0.000 0.000 3.515
```

---

(6)
Density functional theory data (PBEsol) for crystalline TaTcI2O at its relaxed geometry.

Output
Formation energy from raw total energies in eV per atom: 0.3203

```
TaTcI2O
1.0
5.566 0.000 0.000
0.000 5.566 0.000
0.000 0.000 3.810
Ta Tc I O
1 1 2 1
Cartesian
0.000 0.000 0.000
2.783 2.783 1.905
0.000 2.783 0.000
2.783 0.000 0.000
0.000 0.000 1.905
```

---

Number 5 is which compound? MnAl2Au